Record 1
# Mg2Al12Cu7

A geometry-optimized Mg2Al12Cu7 structure (PBE-GGA, Alexandria).

Cell lengths 3.1522, 10.8199, 10.8199 Å; angles 120.00, 90.00, 90.00 degrees
Closest atoms and distances in Å follow each position.
Positions (direct):
Mg 0.5000 0.0000 0.0000  6 Cu 2.91, 6 Al 3.07, 2 Mg 3.15
Mg 0.0000 0.6667 0.3333  6 Cu 2.88, 6 Al 3.08, 2 Mg 3.15
Al 0.5000 0.8814 0.5996  4 Cu 2.51-2.56, 4 Al 2.72-2.75
Al 0.5000 0.7182 0.1186  4 Cu 2.51-2.56, 4 Al 2.72-2.75
Al 0.5000 0.4004 0.2818  4 Cu 2.51-2.56, 4 Al 2.72-2.75
Al 0.5000 0.2519 0.8202  5 Cu 2.65-2.74, 6 Al 2.82-2.87
Al 0.5000 0.5683 0.7481  5 Cu 2.65-2.74, 6 Al 2.82-2.87
Al 0.5000 0.1798 0.4317  5 Cu 2.65-2.74, 6 Al 2.82-2.87
Al 0.0000 0.0718 0.5727  4 Cu 2.48-2.62, 2 Al 2.72
Al 0.0000 0.5009 0.9282  4 Cu 2.48-2.62, 2 Al 2.72
Al 0.0000 0.4273 0.4991  4 Cu 2.48-2.62, 2 Al 2.72
Al 0.0000 0.7803 0.7375  4 Cu 2.50-2.60, 2 Al 2.75
Al 0.0000 0.9572 0.2197  4 Cu 2.50-2.60, 2 Al 2.75
Al 0.0000 0.2625 0.0428  4 Cu 2.50-2.60, 2 Al 2.75
Cu 0.0000 0.3333 0.6667  9 Al 2.48-2.74
Cu 0.0000 0.0455 0.8005  7 Al 2.50-2.65
Cu 0.0000 0.7550 0.9545  7 Al 2.50-2.65
Cu 0.0000 0.1995 0.2450  7 Al 2.50-2.65
Cu 0.5000 0.6230 0.5309  7 Al 2.51-2.70
Cu 0.5000 0.9079 0.3769  7 Al 2.51-2.70
Cu 0.5000 0.4691 0.0921  7 Al 2.51-2.70

Output
E_tot   -0.2791 Ry per atom
ΔE_f   -14 kJ/mol of atoms
Space group   P-6



Record 2
# BaTaCo2

A geometry-optimized BaTaCo2 structure (PBE-GGA, Alexandria).

Cell lengths 3.2692, 3.2692, 7.6718 Å; angles 90.00, 90.00, 90.00 degrees
Closest atoms and distances in Å follow each position.
Positions (direct):
Ba 0.5000 0.5000 0.7797  4 Ba 3.27, 5 Co 3.29-3.63
Co 0.0000 0.0000 0.0852  1 Ta 2.28
Co 0.5000 0.5000 0.2522  4 Ta 2.52, 4 Co 2.64
Ta 0.0000 0.0000 0.3829  5 Co 2.28-2.52

Output
Offset from the most stable computed form   292 meV per atom
E_tot   -0.4732 Ry per atom
ΔE_f   54 kJ/mol of atoms
Space group   P4mm